1.
Entry from Alexandria via LeMat-Bulk: KHfBeH2 after structural relaxation (GGA-PBE).

Output
magnetic moment	1.32	μB per formula unit
final energy	-2.6690	eV/atom
theoretical density	3657	kg/m3
N(E_F)	3.55	states/eV per cell

CIF file:
```
data_KHfBeH2
_chemical_formula_sum 'K1 Hf1 Be1 H2'
_cell_length_a 4.0125
_cell_length_b 4.0125
_cell_length_c 6.4469
_cell_angle_alpha 90.00
_cell_angle_beta 90.00
_cell_angle_gamma 90.00
_space_group_name_H-M_alt 'P 4/m m m'
_space_group_IT_number 123
_space_group_name_Hall '-P 4 2'
loop_
_atom_site_label
_atom_site_fract_x
_atom_site_fract_y
_atom_site_fract_z
K1 0.0000 0.0000 0.0000
Hf1 0.0000 0.0000 0.5000
Be1 0.5000 0.5000 0.5000
H1 0.0000 0.5000 0.0000
```

***

2.
Entry from Alexandria via LeMat-Bulk: HfBeH2N after structural relaxation (GGA-PBE).

Output
magnetic moment	0.00	μB per formula unit
final energy	-5.0841	eV/atom
theoretical density	7698	kg/m3
N(E_F)	1.62	states/eV per cell

CIF file:
```
data_HfBeH2N
_chemical_formula_sum 'Hf1 Be1 H2 N1'
_cell_length_a 3.7577
_cell_length_b 3.7577
_cell_length_c 3.1093
_cell_angle_alpha 90.00
_cell_angle_beta 90.00
_cell_angle_gamma 90.00
_space_group_name_H-M_alt 'P 4/m m m'
_space_group_IT_number 123
_space_group_name_Hall '-P 4 2'
loop_
_atom_site_label
_atom_site_fract_x
_atom_site_fract_y
_atom_site_fract_z
Hf1 0.0000 0.0000 0.0000
Be1 0.5000 0.5000 0.0000
H1 0.0000 0.5000 0.5000
N1 0.5000 0.5000 0.5000
```

***

3.
Entry from Alexandria via LeMat-Bulk: Hf2BeHOs after structural relaxation (GGA-PBE).

Output
magnetic moment	0.00	μB per formula unit
final energy	-7.9145	eV/atom
theoretical density	13719	kg/m3
N(E_F)	2.28	states/eV per cell

CIF file:
```
data_Hf2BeHOs
_chemical_formula_sum 'Hf2 Be1 H1 Os1'
_cell_length_a 4.5014
_cell_length_b 4.5014
_cell_length_c 3.3286
_cell_angle_alpha 90.00
_cell_angle_beta 90.00
_cell_angle_gamma 90.00
_space_group_name_H-M_alt 'P 4/m m m'
_space_group_IT_number 123
_space_group_name_Hall '-P 4 2'
loop_
_atom_site_label
_atom_site_fract_x
_atom_site_fract_y
_atom_site_fract_z
Hf1 0.0000 0.5000 0.0000
Be1 0.0000 0.0000 0.5000
H1 0.0000 0.0000 0.0000
Os1 0.5000 0.5000 0.5000
```

***

4.
Entry from Alexandria via LeMat-Bulk: Hf2BeHPd after structural relaxation (GGA-PBE).

Output
magnetic moment	0.00	μB per formula unit
final energy	-6.6932	eV/atom
theoretical density	11323	kg/m3
N(E_F)	3.92	states/eV per cell

CIF file:
```
data_Hf2BeHPd
_chemical_formula_sum 'Hf2 Be1 H1 Pd1'
_cell_length_a 4.3748
_cell_length_b 4.3748
_cell_length_c 3.6277
_cell_angle_alpha 90.00
_cell_angle_beta 90.00
_cell_angle_gamma 90.00
_space_group_name_H-M_alt 'P 4/m m m'
_space_group_IT_number 123
_space_group_name_Hall '-P 4 2'
loop_
_atom_site_label
_atom_site_fract_x
_atom_site_fract_y
_atom_site_fract_z
Hf1 0.0000 0.5000 0.0000
Be1 0.0000 0.0000 0.5000
H1 0.0000 0.0000 0.0000
Pd1 0.5000 0.5000 0.5000
```

***

What is the N(E_F) in the third record? 2.28 states/eV per cell

***

Which formula does entry 2 have? HfBeH2N

***

Which of these has the highest magnetic moment? KHfBeH2

***

What did the fourth record say?
Entry from Alexandria via LeMat-Bulk: Hf2BeHPd after structural relaxation (GGA-PBE).

Output
magnetic moment	0.00	μB per formula unit
final energy	-6.6932	eV/atom
theoretical density	11323	kg/m3
N(E_F)	3.92	states/eV per cell

CIF file:
```
data_Hf2BeHPd
_chemical_formula_sum 'Hf2 Be1 H1 Pd1'
_cell_length_a 4.3748
_cell_length_b 4.3748
_cell_length_c 3.6277
_cell_angle_alpha 90.00
_cell_angle_beta 90.00
_cell_angle_gamma 90.00
_space_group_name_H-M_alt 'P 4/m m m'
_space_group_IT_number 123
_space_group_name_Hall '-P 4 2'
loop_
_atom_site_label
_atom_site_fract_x
_atom_site_fract_y
_atom_site_fract_z
Hf1 0.0000 0.5000 0.0000
Be1 0.0000 0.0000 0.5000
H1 0.0000 0.0000 0.0000
Pd1 0.5000 0.5000 0.5000
```